No. 1
Computed, not measured: crystalline AlBrCl at its relaxed geometry at the PBE level of DFT.

Geometry as POSCAR:
```
AlBrCl
1.0
0.000 3.613 7.431
1.738 0.000 7.431
1.738 3.613 0.000
Al Br Cl
1 1 1
direct
0.000 0.000 0.000 Al
0.626 0.626 0.374 Br
0.387 0.387 0.613 Cl
```

The electronic total energy comes out at -2.977 eV/atom. The value obtained for the size of the total moment is 0.90 μB/f.u. As for the formation energy without anion corrections: -1.7 eV per formula unit.

No. 2
Computed, not measured: crystalline AlBrCl4 at its relaxed geometry at the PBE level of DFT.

Geometry as POSCAR:
```
AlBrCl4
1.0
0.000 4.179 4.179
4.179 0.000 4.179
4.179 4.179 0.000
Al Br Cl
1 1 4
direct
0.000 0.000 0.000 Al
0.750 0.750 0.750 Br
0.376 0.376 0.376 Cl
0.376 0.376 0.873 Cl
0.376 0.873 0.376 Cl
0.873 0.376 0.376 Cl
```

The electronic total energy comes out at -1.592 eV/atom. The value obtained for the size of the total moment is 0.11 μB/f.u. As for the formation energy without anion corrections: 3.2 eV per formula unit.

No. 3
Computed, not measured: crystalline Al3BrCl at its relaxed geometry at the PBE level of DFT.

Geometry as POSCAR:
```
Al3BrCl
1.0
5.725 0.000 0.000
0.000 5.725 0.000
0.000 0.000 5.725
Al Br Cl
3 1 1
direct
0.000 0.000 0.500 Al
0.000 0.500 0.000 Al
0.500 0.000 0.000 Al
0.000 0.000 0.000 Br
0.500 0.500 0.500 Cl
```

The electronic total energy comes out at -2.359 eV/atom. The value obtained for the size of the total moment is 0.00 μB/f.u. As for the formation energy without anion corrections: 2.9 eV per formula unit.

No. 4
Computed, not measured: crystalline AlBrCl at its relaxed geometry at the PBE level of DFT.

Geometry as POSCAR:
```
AlBrCl
1.0
-1.698 1.698 7.009
1.698 -1.698 7.009
1.698 1.698 -7.009
Al Br Cl
1 1 1
direct
0.000 0.000 0.000 Al
0.383 0.383 0.000 Br
0.607 0.607 0.000 Cl
```

The electronic total energy comes out at -2.833 eV/atom. The value obtained for the size of the total moment is 0.00 μB/f.u. As for the formation energy without anion corrections: -1.2 eV per formula unit.

No. 5
Computed, not measured: crystalline Al3BrCl at its relaxed geometry at the PBE level of DFT.

Geometry as POSCAR:
```
Al3BrCl
1.0
5.479 0.000 0.000
0.000 5.479 0.000
0.000 0.000 5.479
Al Br Cl
3 1 1
direct
0.000 0.000 0.500 Al
0.000 0.500 0.000 Al
0.500 0.000 0.000 Al
0.500 0.500 0.500 Br
0.000 0.000 0.000 Cl
```

The electronic total energy comes out at -2.511 eV/atom. The value obtained for the size of the total moment is 0.00 μB/f.u. As for the formation energy without anion corrections: 2.2 eV per formula unit.

No. 6
Computed, not measured: crystalline Al4BrCl at its relaxed geometry at the PBE level of DFT.

Geometry as POSCAR:
```
Al4BrCl
1.0
0.000 4.072 4.072
4.072 0.000 4.072
4.072 4.072 0.000
Al Br Cl
4 1 1
direct
0.376 0.376 0.376 Al
0.376 0.376 0.872 Al
0.376 0.872 0.376 Al
0.872 0.376 0.376 Al
0.000 0.000 0.000 Br
0.750 0.750 0.750 Cl
```

The electronic total energy comes out at -2.934 eV/atom. The value obtained for the size of the total moment is 0.00 μB/f.u. As for the formation energy without anion corrections: 0.9 eV per formula unit.

No. 7
Computed, not measured: crystalline AlBrCl at its relaxed geometry at the PBE level of DFT.

Geometry as POSCAR:
```
AlBrCl
1.0
3.913 0.000 0.000
-1.957 3.389 0.000
0.000 0.000 6.839
Al Br Cl
1 1 1
direct
0.000 0.000 0.000 Al
0.333 0.667 0.227 Br
0.667 0.333 0.807 Cl
```

The electronic total energy comes out at -3.079 eV/atom. The value obtained for the size of the total moment is 0.73 μB/f.u. As for the formation energy without anion corrections: -2.0 eV per formula unit.

No. 8
Computed, not measured: crystalline CsAlBr2Cl at its relaxed geometry at the PBE level of DFT.

Geometry as POSCAR:
```
CsAlBr2Cl
1.0
5.471 0.000 0.000
0.000 5.471 0.000
0.000 0.000 5.201
Cs Al Br Cl
1 1 2 1
direct
0.000 0.000 0.000 Cs
0.500 0.500 0.500 Al
0.000 0.500 0.500 Br
0.500 0.000 0.500 Br
0.500 0.500 0.000 Cl
```

The electronic total energy comes out at -3.213 eV/atom. The value obtained for the size of the total moment is 0.00 μB/f.u. As for the formation energy without anion corrections: -6.3 eV per formula unit.